# Rb2HfCu

An optimized crystal structure of Rb2HfCu (GGA-PBE, Alexandria).

Lattice parameters (Å, degrees): 13.0236 13.0236 4.9527 90.00 90.00 90.00
Space group I-42d (No. 122)
One atom of each set of equivalent atoms:
Rb 0.0864 0.2500 0.1250
Hf 0.0000 0.0000 0.5000
Cu 0.0000 0.0000 0.0000

DFT formation energy (eV/f.u.): 4.3
Energy above the lowest structure with this stoichiometry (eV per atom): 0.000
E_tot (eV/atom): -2.9266
Crystal system: tetragonal